Computed, not measured: a relaxed SrSiAsPd2 crystal at the PBE level of DFT.

Density, g cm⁻³: 6.999
Symmetry: I4mm
VASP energy, eV per atom: -5.216

a = 5.927 Å, b = 5.927 Å, c = 5.927 Å
α = 136.99°, β = 136.99°, γ = 62.46°
Fractional positions:
As 0.387 0.387 0.000
Pd 0.743 0.243 0.500
Pd 0.243 0.743 0.500
Si 0.629 0.629 0.000
Sr 0.997 0.997 0.000